No. 1
# Sr2YNi2, relaxed, DFT PBE-GGA
data_Sr2YNi2
_chemical_formula_sum 'Sr4 Y2 Ni4'
_space_group_name_H-M_alt 'P 4/m b m'
_space_group_IT_number 127
_space_group_name_Hall '-P 4 2ab'
_cell_length_a 7.408
_cell_length_b 7.408
_cell_length_c 4.742
_cell_angle_alpha 90.00
_cell_angle_beta 90.00
_cell_angle_gamma 90.00
loop_
_atom_site_label
_atom_site_type_symbol
_atom_site_fract_x
_atom_site_fract_y
_atom_site_fract_z
Sr1 Sr 0.172 0.328 0.000
Y1 Y 0.000 0.000 0.500
Ni1 Ni 0.113 0.613 0.500
# Energy   -4.210 eV/atom
# Total moment   0.005 μB per formula unit
# ρ   4870 kg/m³

=====

No. 2
# Sr2Zr2Ni3, relaxed, DFT PBE-GGA
data_Sr2Zr2Ni3
_chemical_formula_sum 'Sr6 Zr6 Ni9'
_space_group_name_H-M_alt 'R 3 m'
_space_group_IT_number 160
_space_group_name_Hall 'R 3 -2"'
_cell_length_a 4.6602
_cell_length_b 4.6602
_cell_length_c 25.2685
_cell_angle_alpha 90.00
_cell_angle_beta 90.00
_cell_angle_gamma 120.00
loop_
_atom_site_label
_atom_site_type_symbol
_atom_site_fract_x
_atom_site_fract_y
_atom_site_fract_z
Sr1 Sr 0.0000 0.0000 0.0000
Sr2 Sr 0.0000 0.0000 0.4932
Zr1 Zr 0.0000 0.0000 0.2543
Zr2 Zr 0.0000 0.0000 0.7296
Ni1 Ni 0.0000 0.0000 0.3726
Ni2 Ni 0.0000 0.0000 0.6165
Ni3 Ni 0.0000 0.0000 0.8909
# Energy   -5.098 eV/atom
# Total moment   0.029 μB per formula unit
# ρ   5595 kg/m³

=====

energy of number 1 (Sr2YNi2)? -4.210 eV/atom